# 1
A relaxed AcH6IrPd crystal, computed with PBE.

Cell lengths 4.9777, 4.9778, 4.3940 Å; angles 90.00, 90.00, 60.00 degrees
Last column: nearest neighbours and their distance in Å.
Positions (direct):
Ac (0.0000, 0.0000, 0.0000)  12 H 2.72-2.73
H (0.0280, 0.4850, 0.2487)  1 Ir 1.72, 1 Pd 1.91
H (0.4850, 0.0280, 0.7512)  1 Ir 1.72, 1 Pd 1.91
H (0.4870, 0.4850, 0.7512)  1 Ir 1.72, 1 Pd 1.91
H (0.0280, 0.4870, 0.7512)  1 Ir 1.72, 1 Pd 1.91
H (0.4850, 0.4870, 0.2487)  1 Ir 1.72, 1 Pd 1.91
H (0.4869, 0.0280, 0.2487)  1 Ir 1.72, 1 Pd 1.91
Ir (0.3333, 0.3334, 0.5000)  6 H 1.72
Pd (0.6667, 0.6667, 0.5000)  6 H 1.91

Summary:
**Total energy**: -41.58 eV per cell
**Calculated volume**: 94 Å³/cell
**Calculated density**: 9.4 g/cm3
**Fermi-level density of states**: 1.98 states/eV/cell
**Total magnetization**: 0.0 μB/f.u.
**Space group**: P-6m2

# 2
A relaxed SmTm2SnRh4 crystal, computed with PBE.

Cell lengths 4.7643, 4.7643, 8.2832 Å; angles 73.29, 73.29, 60.00 degrees
Last column: nearest neighbours and their distance in Å.
Positions (direct):
Sm (0.0000, 0.0000, 0.0000)  8 Rh 2.95
Tm (0.7552, 0.7552, 0.7344)  7 Rh 2.79-2.93
Tm (0.2448, 0.2448, 0.2656)  7 Rh 2.79-2.93
Sn (0.5000, 0.5000, 0.5000)  8 Rh 2.83-2.91
Rh (0.3793, 0.3793, 0.8622)  1 Sn 2.83, 4 Tm 2.93-3.15, 3 Sm 2.95
Rh (0.8743, 0.8743, 0.3770)  4 Tm 2.79-2.89, 3 Sn 2.91, 1 Sm 2.95
Rh (0.1257, 0.1257, 0.6230)  4 Tm 2.79-2.89, 3 Sn 2.91, 1 Sm 2.95
Rh (0.6207, 0.6207, 0.1378)  1 Sn 2.83, 4 Tm 2.93-3.15, 3 Sm 2.95

Summary:
**ΔE_f**: -6.484 eV/f.u.
**Calculated volume**: 154 Å³/cell
**Calculated density**: 11.0 g/cm3
**Fermi-level density of states**: 6.50 states/eV/cell
**Total magnetization**: 0.0 μB/f.u.
**Space group**: R-3m

# 3
A relaxed TiMn4Co crystal, computed with PBE.

Cell lengths 4.6566, 4.6566, 4.6566 Å; angles 60.00, 60.00, 60.00 degrees
Last column: nearest neighbours and their distance in Å.
Positions (direct):
Mn (0.6253, 0.6253, 0.1241)  6 Mn 2.32-2.33
Mn (0.6253, 0.1241, 0.6253)  6 Mn 2.32-2.33
Mn (0.6253, 0.6253, 0.6253)  6 Mn 2.32-2.33
Mn (0.1241, 0.6253, 0.6253)  6 Mn 2.32-2.33
Co (0.0000, 0.0000, 0.0000)  12 Mn 2.73, 4 Ti 2.85
Ti (0.2500, 0.2500, 0.2500)  12 Mn 2.73, 4 Co 2.85

Summary:
**ΔE_f**: 0.036 eV/f.u.
**Calculated volume**: 71 Å³/cell
**Calculated density**: 7.6 g/cm3
**Fermi-level density of states**: 7.66 states/eV/cell
**Total magnetization**: 1.4 μB/f.u.
**Space group**: F-43m

# 4
A relaxed Hg2SbPd5 crystal, computed with PBE.

Cell lengths 4.2091, 4.2091, 8.4082 Å; angles 104.50, 104.50, 90.00 degrees
Last column: nearest neighbours and their distance in Å.
Positions (direct):
Hg (0.7460, 0.7460, 0.4920)  8 Pd 2.89-2.98, 4 Hg 2.98
Hg (0.2540, 0.2540, 0.5080)  8 Pd 2.89-2.98, 4 Hg 2.98
Sb (0.0000, 0.0000, 0.0000)  12 Pd 2.83-2.98
Pd (0.5000, 0.5000, 0.0000)  8 Pd 2.83, 4 Sb 2.98
Pd (0.8799, 0.3799, 0.7598)  6 Pd 2.83-2.98, 2 Sb 2.83, 4 Hg 2.89-2.98
Pd (0.3799, 0.8799, 0.7598)  2 Sb 2.83, 6 Pd 2.83-2.98, 4 Hg 2.89-2.98
Pd (0.1201, 0.6201, 0.2402)  6 Pd 2.83-2.98, 2 Sb 2.83, 4 Hg 2.89-2.98
Pd (0.6201, 0.1201, 0.2402)  2 Sb 2.83, 6 Pd 2.83-2.98, 4 Hg 2.89-2.98

Summary:
**Calculated volume**: 139 Å³/cell
**Formation energy without anion corrections**: -5.6 kcal/mol of atoms
**Calculated density**: 12.6 g/cm3
**Fermi-level density of states**: 5.30 states/eV/cell
**Total magnetization**: 0.0 μB/f.u.
**Space group**: I4/mmm

# 5
A relaxed VRuSe3 crystal, computed with PBE.

Cell lengths 4.8633, 4.8633, 4.8633 Å; angles 90.00, 90.00, 90.00 degrees
Last column: nearest neighbours and their distance in Å.
Positions (direct):
Ru (0.0000, 0.0000, 0.0000)  6 Se 2.43
Se (0.0000, 0.5000, 0.0000)  2 Ru 2.43
Se (0.0000, 0.0000, 0.5000)  2 Ru 2.43
Se (0.5000, 0.0000, 0.0000)  2 Ru 2.43
V (0.5000, 0.5000, 0.5000)  12 Se 3.44

Summary:
**Calculated volume**: 115 Å³/cell
**Formation energy without anion corrections**: 14.3 kcal/mol of atoms
**Calculated density**: 5.6 g/cm3
**Fermi-level density of states**: 8.39 states/eV/cell
**Total magnetization**: 0.9 μB/f.u.
**Space group**: Pm-3m

# 6
A relaxed Er2Hf2Ni15 crystal, computed with PBE.

Cell lengths 6.4020, 6.4020, 6.4020 Å; angles 81.97, 81.97, 81.97 degrees
Last column: nearest neighbours and their distance in Å.
Positions (direct):
Er (0.3573, 0.3573, 0.3573)  12 Ni 2.90-3.08, 1 Hf 3.11
Er (0.6427, 0.6427, 0.6427)  12 Ni 2.90-3.08, 1 Hf 3.11
Hf (0.1091, 0.1091, 0.1091)  6 Ni 2.53-2.61, 1 Hf 2.74
Hf (0.8909, 0.8909, 0.8909)  6 Ni 2.53-2.61, 1 Hf 2.74
Ni (0.5000, 0.0000, 0.0000)  8 Ni 2.45, 2 Hf 2.53
Ni (0.0000, 0.0000, 0.5000)  8 Ni 2.45, 2 Hf 2.53
Ni (0.0000, 0.5000, 0.0000)  8 Ni 2.45, 2 Hf 2.53
Ni (0.0000, 0.6992, 0.3008)  8 Ni 2.45-2.58
Ni (0.6992, 0.3008, 0.0000)  8 Ni 2.45-2.58
Ni (0.3008, 0.0000, 0.6992)  8 Ni 2.45-2.58
Ni (0.3008, 0.6992, 0.0000)  8 Ni 2.45-2.58
Ni (0.6992, 0.0000, 0.3008)  8 Ni 2.45-2.58
Ni (0.0000, 0.3008, 0.6992)  8 Ni 2.45-2.58
Ni (0.1596, 0.6526, 0.6526)  8 Ni 2.41-2.58, 1 Hf 2.61
Ni (0.6526, 0.6526, 0.1596)  8 Ni 2.41-2.58, 1 Hf 2.61
Ni (0.6526, 0.1596, 0.6526)  8 Ni 2.41-2.58, 1 Hf 2.61
Ni (0.8404, 0.3474, 0.3474)  8 Ni 2.41-2.58, 1 Hf 2.61
Ni (0.3474, 0.3474, 0.8404)  8 Ni 2.41-2.58, 1 Hf 2.61
Ni (0.3474, 0.8404, 0.3474)  8 Ni 2.41-2.58, 1 Hf 2.61

Summary:
**ΔE_f**: -5.933 eV/f.u.
**Calculated volume**: 255 Å³/cell
**Calculated density**: 10.2 g/cm3
**Fermi-level density of states**: 29.46 states/eV/cell
**Total magnetization**: 0.5 μB/f.u.
**Space group**: R-3m

# 7
A relaxed Nd4AsSe2 crystal, computed with PBE.

Cell lengths 4.1165, 7.1842, 14.0672 Å; angles 90.00, 90.00, 106.65 degrees
Last column: nearest neighbours and their distance in Å.
Positions (direct):
As (0.6022, 0.2043, 0.7500)  6 Nd 2.96-3.13
As (0.3978, 0.7957, 0.2500)  6 Nd 2.96-3.13
Nd (0.7824, 0.5649, 0.1259)  3 Se 2.88-2.97, 2 As 3.13
Nd (0.7824, 0.5649, 0.3741)  3 Se 2.88-2.97, 2 As 3.13
Nd (0.2176, 0.4351, 0.8741)  3 Se 2.88-2.97, 2 As 3.13
Nd (0.2176, 0.4351, 0.6259)  3 Se 2.88-2.97, 2 As 3.13
Nd (0.9473, 0.8946, 0.7500)  2 Se 2.88, 2 As 2.96
Nd (0.0527, 0.1054, 0.2500)  2 Se 2.88, 2 As 2.96
Nd (0.5000, 0.0000, 0.0000)  4 Se 2.96
Nd (0.5000, 0.0000, 0.5000)  4 Se 2.96
Se (0.1404, 0.2809, 0.4360)  6 Nd 2.88-2.97
Se (0.8596, 0.7191, 0.9360)  6 Nd 2.88-2.97
Se (0.1404, 0.2809, 0.0640)  6 Nd 2.88-2.97
Se (0.8596, 0.7191, 0.5640)  6 Nd 2.88-2.97

Summary:
**Calculated volume**: 399 Å³/cell
**Formation energy without anion corrections**: -32.8 kcal/mol of atoms
**Calculated density**: 6.7 g/cm3
**Fermi-level density of states**: 10.12 states/eV/cell
**Total magnetization**: 0.0 μB/f.u.
**Space group**: Cmcm

# 8
A relaxed SrTlCo4 crystal, computed with PBE.

Cell lengths 5.1430, 5.1430, 5.1430 Å; angles 60.00, 60.00, 60.00 degrees
Last column: nearest neighbours and their distance in Å.
Positions (direct):
Sr (0.7500, 0.7500, 0.7500)  12 Co 3.02, 4 Tl 3.15
Tl (0.0000, 0.0000, 0.0000)  12 Co 3.01, 4 Sr 3.15
Co (0.8780, 0.3740, 0.3740)  6 Co 2.55-2.59
Co (0.3740, 0.3740, 0.8780)  6 Co 2.55-2.59
Co (0.3740, 0.8780, 0.3740)  6 Co 2.55-2.59
Co (0.3740, 0.3740, 0.3740)  6 Co 2.55-2.59

Summary:
**ΔE_f**: 1.912 eV/f.u.
**Calculated volume**: 96 Å³/cell
**Calculated density**: 9.1 g/cm3
**Fermi-level density of states**: 8.66 states/eV/cell
**Total magnetization**: 5.4 μB/f.u.
**Space group**: F-43m

# 9
A relaxed Hf6CrOs5 crystal, computed with PBE.

Cell lengths 4.6032, 6.4882, 7.9627 Å; angles 114.04, 106.80, 90.00 degrees
Last column: nearest neighbours and their distance in Å.
Positions (direct):
Os (0.6659, 0.1659, 0.3318)  8 Hf 2.80-2.83
Os (0.3332, 0.3332, 0.6664)  8 Hf 2.82
Os (0.0000, 0.5000, 0.0000)  8 Hf 2.81-2.82
Os (0.6668, 0.6668, 0.3336)  8 Hf 2.82
Os (0.3341, 0.8341, 0.6682)  8 Hf 2.80-2.83
Cr (0.0000, 0.0000, 0.0000)  8 Hf 2.81
Hf (0.8339, 0.5845, 0.6677)  1 Cr 2.81, 7 Os 2.81-2.83
Hf (0.8338, 0.0832, 0.6677)  1 Cr 2.81, 7 Os 2.81-2.83
Hf (0.5001, 0.7516, 0.0000)  6 Os 2.80-2.82, 2 Cr 2.81
Hf (0.4999, 0.2484, 0.0000)  6 Os 2.80-2.82, 2 Cr 2.81
Hf (0.1662, 0.9168, 0.3323)  1 Cr 2.81, 7 Os 2.81-2.83
Hf (0.1661, 0.4155, 0.3323)  1 Cr 2.81, 7 Os 2.81-2.83

Summary:
**ΔE_f**: -6.935 eV/f.u.
**Calculated volume**: 206 Å³/cell
**Calculated density**: 16.7 g/cm3
**Fermi-level density of states**: 6.72 states/eV/cell
**Total magnetization**: 1.2 μB/f.u.
**Space group**: Immm

# 10
A relaxed Al2ZnHg crystal, computed with PBE.

Cell lengths 5.8212, 5.8212, 5.8212 Å; angles 150.85, 127.23, 61.42 degrees
Last column: nearest neighbours and their distance in Å.
Positions (direct):
Zn (0.2360, 0.7360, 0.5000)  6 Al 2.73-2.98, 2 Zn 2.93, 2 Hg 2.99
Hg (0.4960, 0.4960, 0.0000)  2 Hg 2.93, 6 Al 2.97-3.04, 2 Zn 2.99
Al (0.0054, 0.0054, 0.0000)  2 Zn 2.73, 4 Al 2.84-2.93, 4 Hg 2.97
Al (0.7626, 0.2626, 0.5000)  4 Al 2.84-2.93, 4 Zn 2.98, 2 Hg 3.04

Summary:
**ΔE_f**: 0.691 eV/f.u.
**Calculated volume**: 76 Å³/cell
**Calculated density**: 7.0 g/cm3
**Energy above the most stable polymorph in this dataset**: 0.30 eV/f.u.
**Fermi-level density of states**: 1.33 states/eV/cell
**Total magnetization**: 0.0 μB/f.u.
**Space group**: Imm2

# 11
A relaxed Zn2SnF6 crystal, computed with PBE.

Cell lengths 5.1481, 5.4355, 5.4355 Å; angles 120.00, 90.00, 90.00 degrees
Last column: nearest neighbours and their distance in Å.
Positions (direct):
Zn (0.5000, 0.6667, 0.3333)  6 F 2.07
Zn (0.5000, 0.3333, 0.6667)  6 F 2.07
Sn (0.0000, 0.0000, 0.0000)  6 F 2.44
F (0.7177, 0.6392, 0.6392)  2 Zn 2.07
F (0.2823, 0.6392, 0.0000)  2 Zn 2.07
F (0.2823, 0.0000, 0.6392)  2 Zn 2.07
F (0.7177, 0.3608, 0.0000)  2 Zn 2.07
F (0.2823, 0.3608, 0.3608)  2 Zn 2.07
F (0.7177, 0.0000, 0.3608)  2 Zn 2.07

Summary:
**Calculated volume**: 132 Å³/cell
**Formation energy without anion corrections**: -53.0 kcal/mol of atoms
**Calculated density**: 4.6 g/cm3
**Fermi-level density of states**: 0.00 states/eV/cell
**Total magnetization**: 0.0 μB/f.u.
**Space group**: P-31m

# 12
A relaxed Sc2MnCr crystal, computed with PBE.

Cell lengths 2.9476, 2.9476, 7.8213 Å; angles 90.00, 90.00, 90.00 degrees
Last column: nearest neighbours and their distance in Å.
Positions (direct):
Cr (0.0000, 0.0000, 0.5534)  4 Mn 2.38
Mn (0.5000, 0.5000, 0.7009)  4 Cr 2.38
Sc (0.0000, 0.0000, 0.9358)  4 Mn 2.78, 4 Sc 2.95, 1 Cr 2.99
Sc (0.5000, 0.5000, 0.3100)  4 Cr 2.82, 4 Sc 2.95, 1 Mn 3.06

Summary:
**ΔE_f**: 0.296 eV/f.u.
**Calculated volume**: 68 Å³/cell
**Calculated density**: 4.8 g/cm3
**Energy above the most stable polymorph in this dataset**: 0.00 eV/f.u.
**Fermi-level density of states**: 5.13 states/eV/cell
**Total magnetization**: 0.0 μB/f.u.
**Space group**: P4mm

Number 6 is which compound? Er2Hf2Ni15